[1]
Below is Pm4N after structural relaxation, with properties calculated at the GGA-PBE level.

a = 5.123 Å, b = 5.123 Å, c = 5.123 Å
α = 90.00°, β = 90.00°, γ = 90.00°
Sites, in units of the cell vectors:
1 Pm 0.000 0.000 0.000
2 Pm 0.000 0.500 0.500
3 Pm 0.500 0.000 0.500
4 Pm 0.500 0.500 0.000
5 N 0.500 0.500 0.500

## Properties
SG: Pm-3m
DFT total energy in eV/atom: -5.915

[2]
Below is Pm8N5 after structural relaxation, with properties calculated at the GGA-PBE level.

a = 7.143 Å, b = 7.143 Å, c = 8.726 Å
α = 127.54°, β = 127.54°, γ = 60.03°
Sites, in units of the cell vectors:
1 Pm 0.021 0.021 0.319
2 Pm 0.027 0.550 0.841
3 Pm 0.450 0.973 0.159
4 Pm 0.476 0.476 0.669
5 Pm 0.524 0.524 0.331
6 Pm 0.550 0.027 0.841
7 Pm 0.973 0.450 0.159
8 Pm 0.979 0.979 0.681
9 N 0.000 0.000 0.000
10 N 0.247 0.753 0.500
11 N 0.256 0.256 0.998
12 N 0.744 0.744 0.002
13 N 0.753 0.247 0.500

## Properties
SG: C2/m
DFT total energy in eV/atom: -7.164

[3]
Below is Pm2N after structural relaxation, with properties calculated at the GGA-PBE level.

a = 3.604 Å, b = 3.604 Å, c = 6.353 Å
α = 90.19°, β = 90.19°, γ = 59.99°
Sites, in units of the cell vectors:
1 Pm 0.167 0.167 0.216
2 Pm 0.833 0.833 0.784
3 N 0.500 0.500 0.000

## Properties
SG: C2/m
Energy relative to the lowest polymorph listed for this composition in eV/atom: 0.021

Number 1: total moment 0.0 μB/cell. Number 2: total moment 0.0 μB/cell. Number 3: total moment 0.0 μB/cell.